<A>
An optimized crystal structure of NaNd2Os, computed with PBE-GGA.

Cell: 3.496 3.496 9.726 Å, 90.00 90.00 90.00°
Fractional coordinates of all 4 atoms:
Na1 0.000 0.000 0.000
Nd1 0.500 0.500 0.323
Nd2 0.500 0.500 0.677
Os1 0.000 0.000 0.500

DOS(E_F): 0.649 states/eV/atom
Magnetic moment: 0.0 μB/cell

***

<B>
An optimized crystal structure of NaNd2Os, computed with PBE-GGA.

Cell: 10.850 10.850 10.850 Å, 21.91 21.91 21.91°
Fractional coordinates of all 4 atoms:
Na1 0.000 0.000 0.000
Nd1 0.119 0.119 0.119
Nd2 0.881 0.881 0.881
Os1 0.500 0.500 0.500

DOS(E_F): 0.729 states/eV/atom
Magnetic moment: 0.0 μB/cell

***

Which one sits at the bottom of the stability order? <B> does.

***

<A>
An optimized crystal structure of NaNdPb3, computed with PBE-GGA.

Cell: 6.568 14.288 6.495 Å, 90.00 90.18 90.00°
Fractional coordinates of all 20 atoms:
Na1 0.000 0.101 0.250
Na2 0.000 0.899 0.750
Na3 0.500 0.102 0.250
Na4 0.500 0.898 0.750
Nd1 0.250 0.316 0.997
Nd2 0.250 0.684 0.497
Nd3 0.750 0.316 0.503
Nd4 0.750 0.684 0.003
Pb1 0.000 0.496 0.750
Pb2 0.000 0.504 0.250
Pb3 0.250 0.104 0.785
Pb4 0.250 0.286 0.488
Pb5 0.250 0.714 0.988
Pb6 0.250 0.896 0.285
Pb7 0.500 0.495 0.750
Pb8 0.500 0.505 0.250
Pb9 0.750 0.104 0.715
Pb10 0.750 0.286 0.012
Pb11 0.750 0.714 0.512
Pb12 0.750 0.896 0.215

DOS(E_F): 0.489 states/eV/atom
Magnetic moment: 0.0 μB/cell

***

<B>
An optimized crystal structure of NaNdPb3, computed with PBE-GGA.

Cell: 7.417 7.417 6.463 Å, 90.00 90.00 120.00°
Fractional coordinates of all 10 atoms:
Na1 0.000 0.000 0.000
Na2 0.000 0.000 0.500
Nd1 0.333 0.667 0.250
Nd2 0.667 0.333 0.750
Pb1 0.197 0.393 0.750
Pb2 0.197 0.803 0.750
Pb3 0.393 0.197 0.250
Pb4 0.607 0.803 0.750
Pb5 0.803 0.197 0.250
Pb6 0.803 0.607 0.250

DOS(E_F): 0.515 states/eV/atom
Magnetic moment: 0.0 μB/cell

***

Which one sits at the bottom of the stability order? <B> does.

***

<A>
An optimized crystal structure of NaNdTlPb, computed with PBE-GGA.

Cell: 4.411 4.994 5.235 Å, 90.00 90.00 90.00°
Fractional coordinates of all 4 atoms:
Na1 0.000 0.000 0.000
Nd1 0.000 0.500 0.500
Tl1 0.500 0.500 0.000
Pb1 0.500 0.000 0.500

DOS(E_F): 0.580 states/eV/atom
Magnetic moment: 0.0 μB/cell

***

<B>
An optimized crystal structure of NaNdTlPb, computed with PBE-GGA.

Cell: 5.482 5.482 5.482 Å, 60.00 60.00 60.00°
Fractional coordinates of all 4 atoms:
Na1 0.000 0.000 0.000
Nd1 0.500 0.500 0.500
Tl1 0.750 0.750 0.750
Pb1 0.250 0.250 0.250

DOS(E_F): 0.629 states/eV/atom
Magnetic moment: 0.0 μB/cell

***

Which one sits at the bottom of the stability order? <B> does.

***

<A>
An optimized crystal structure of NaNd2Pd, computed with PBE-GGA.

Cell: 3.608 3.608 9.397 Å, 90.00 90.00 90.00°
Fractional coordinates of all 4 atoms:
Na1 0.000 0.000 0.000
Nd1 0.500 0.500 0.316
Nd2 0.500 0.500 0.684
Pd1 0.000 0.000 0.500

DOS(E_F): 0.788 states/eV/atom
Magnetic moment: 0.0 μB/cell

***

<B>
An optimized crystal structure of NaNd2Pd, computed with PBE-GGA.

Cell: 10.954 10.954 10.954 Å, 21.76 21.76 21.76°
Fractional coordinates of all 4 atoms:
Na1 0.000 0.000 0.000
Nd1 0.117 0.117 0.117
Nd2 0.883 0.883 0.883
Pd1 0.500 0.500 0.500

DOS(E_F): 0.832 states/eV/atom
Magnetic moment: 0.0 μB/cell

***

Which one sits at the bottom of the stability order? <B> does.

***

<A>
An optimized crystal structure of NaNd6S8, computed with PBE-GGA.

Cell: 8.101 8.101 8.101 Å, 60.00 60.00 60.00°
Fractional coordinates of all 15 atoms:
Na1 0.000 0.000 0.000
Nd1 0.000 0.000 0.500
Nd2 0.000 0.500 0.000
Nd3 0.000 0.500 0.500
Nd4 0.500 0.000 0.000
Nd5 0.500 0.000 0.500
Nd6 0.500 0.500 0.000
S1 0.249 0.249 0.751
S2 0.249 0.751 0.249
S3 0.249 0.751 0.751
S4 0.250 0.250 0.250
S5 0.750 0.750 0.750
S6 0.751 0.249 0.249
S7 0.751 0.249 0.751
S8 0.751 0.751 0.249

DOS(E_F): 0.311 states/eV/atom
Magnetic moment: 0.0 μB/cell

***

<B>
An optimized crystal structure of NaNd6S8, computed with PBE-GGA.

Cell: 7.563 7.563 7.563 Å, 68.19 68.19 68.19°
Fractional coordinates of all 15 atoms:
Na1 0.000 0.000 0.000
Nd1 0.079 0.461 0.702
Nd2 0.298 0.921 0.539
Nd3 0.461 0.702 0.079
Nd4 0.539 0.298 0.921
Nd5 0.702 0.079 0.461
Nd6 0.921 0.539 0.298
S1 0.095 0.807 0.363
S2 0.193 0.637 0.905
S3 0.329 0.329 0.329
S4 0.363 0.095 0.807
S5 0.637 0.905 0.193
S6 0.671 0.671 0.671
S7 0.807 0.363 0.095
S8 0.905 0.193 0.637

DOS(E_F): 0.357 states/eV/atom
Magnetic moment: 0.0 μB/cell

***

Which one sits at the bottom of the stability order? <B> does.

***

<A>
An optimized crystal structure of NaNdSb2, computed with PBE-GGA.

Cell: 5.563 5.563 5.563 Å, 57.62 57.62 57.62°
Fractional coordinates of all 4 atoms:
Na1 0.000 0.000 0.000
Nd1 0.500 0.500 0.500
Sb1 0.251 0.251 0.251
Sb2 0.749 0.749 0.749

DOS(E_F): 1.175 states/eV/atom
Magnetic moment: 0.0 μB/cell

***

<B>
An optimized crystal structure of NaNdSb2, computed with PBE-GGA.

Cell: 6.945 6.945 6.945 Å, 40.85 40.85 40.85°
Fractional coordinates of all 4 atoms:
Na1 0.000 0.000 0.000
Nd1 0.181 0.181 0.181
Sb1 0.599 0.599 0.599
Sb2 0.757 0.757 0.757

DOS(E_F): 0.402 states/eV/atom
Magnetic moment: 0.0 μB/cell

***

<C>
An optimized crystal structure of NaNdSb2, computed with PBE-GGA.

Cell: 4.133 4.133 6.913 Å, 90.00 90.00 90.00°
Fractional coordinates of all 4 atoms:
Na1 0.000 0.000 0.000
Nd1 0.000 0.000 0.500
Sb1 0.500 0.500 0.269
Sb2 0.500 0.500 0.731

DOS(E_F): 0.576 states/eV/atom
Magnetic moment: 0.0 μB/cell

***

Which one sits at the bottom of the stability order? <A> does.

***

<A>
An optimized crystal structure of NaNdSb2, computed with PBE-GGA.

Cell: 6.352 6.352 6.568 Å, 90.00 90.00 120.89°
Fractional coordinates of all 8 atoms:
Na1 0.250 0.250 0.000
Na2 0.750 0.750 0.000
Nd1 0.250 0.750 0.680
Nd2 0.750 0.250 0.320
Sb1 0.250 0.250 0.500
Sb2 0.250 0.750 0.174
Sb3 0.750 0.250 0.826
Sb4 0.750 0.750 0.500

DOS(E_F): 0.725 states/eV/atom
Magnetic moment: 0.0 μB/cell

***

<B>
An optimized crystal structure of NaNdSb2, computed with PBE-GGA.

Cell: 5.048 5.048 4.366 Å, 90.00 90.00 90.00°
Fractional coordinates of all 4 atoms:
Na1 0.000 0.000 0.000
Nd1 0.500 0.500 0.000
Sb1 0.000 0.500 0.500
Sb2 0.500 0.000 0.500

DOS(E_F): 0.456 states/eV/atom
Magnetic moment: 0.0 μB/cell

***

Which one sits at the bottom of the stability order? <A> does.

***

<A>
An optimized crystal structure of NaSrNd, computed with PBE-GGA.

Cell: 8.923 8.923 8.923 Å, 155.44 155.44 35.01°
Fractional coordinates of all 3 atoms:
Na1 0.000 0.000 0.000
Sr1 0.675 0.675 0.000
Nd1 0.345 0.345 0.000

DOS(E_F): 1.108 states/eV/atom
Magnetic moment: 0.0 μB/cell

***

<B>
An optimized crystal structure of NaSrNd, computed with PBE-GGA.

Cell: 6.201 6.201 3.690 Å, 90.00 90.00 120.00°
Fractional coordinates of all 3 atoms:
Na1 0.000 0.000 0.000
Sr1 0.667 0.333 0.222
Nd1 0.333 0.667 0.639

DOS(E_F): 0.834 states/eV/atom
Magnetic moment: 0.0 μB/cell

***

<C>
An optimized crystal structure of NaSrNd, computed with PBE-GGA.

Cell: 3.916 3.916 16.194 Å, 90.00 90.00 90.00°
Fractional coordinates of all 6 atoms:
Na1 0.250 0.250 0.073
Na2 0.750 0.750 0.927
Sr1 0.250 0.250 0.748
Sr2 0.750 0.750 0.252
Nd1 0.250 0.250 0.429
Nd2 0.750 0.750 0.571

DOS(E_F): 1.115 states/eV/atom
Magnetic moment: 0.0 μB/cell

***

Which one sits at the bottom of the stability order? <B> does.

***

<A>
An optimized crystal structure of NaTbNd2, computed with PBE-GGA.

Cell: 13.075 13.075 13.075 Å, 15.72 15.72 15.72°
Fractional coordinates of all 4 atoms:
Na1 0.000 0.000 0.000
Tb1 0.500 0.500 0.500
Nd1 0.092 0.092 0.092
Nd2 0.908 0.908 0.908

DOS(E_F): 1.183 states/eV/atom
Magnetic moment: 0.0 μB/cell

***

<B>
An optimized crystal structure of NaTbNd2, computed with PBE-GGA.

Cell: 3.558 3.558 10.966 Å, 90.00 90.00 90.00°
Fractional coordinates of all 4 atoms:
Na1 0.000 0.000 0.000
Tb1 0.000 0.000 0.500
Nd1 0.500 0.500 0.267
Nd2 0.500 0.500 0.733

DOS(E_F): 0.939 states/eV/atom
Magnetic moment: 0.0 μB/cell

***

Which one sits at the bottom of the stability order? <A> does.

***

<A>
An optimized crystal structure of NaTbNd, computed with PBE-GGA.

Cell: 8.595 8.595 8.595 Å, 156.16 156.16 33.96°
Fractional coordinates of all 3 atoms:
Na1 0.000 0.000 0.000
Tb1 0.328 0.328 0.000
Nd1 0.677 0.677 0.000

DOS(E_F): 1.175 states/eV/atom
Magnetic moment: 0.0 μB/cell

***

<B>
An optimized crystal structure of NaTbNd, computed with PBE-GGA.

Cell: 8.042 6.753 6.387 Å, 75.41 54.36 50.23°
Fractional coordinates of all 6 atoms:
Na1 0.131 0.131 0.869
Na2 0.869 0.869 0.131
Tb1 0.250 0.250 0.250
Tb2 0.750 0.750 0.750
Nd1 0.329 0.671 0.329
Nd2 0.671 0.329 0.671

DOS(E_F): 1.300 states/eV/atom
Magnetic moment: 0.0 μB/cell

***

<C>
An optimized crystal structure of NaTbNd, computed with PBE-GGA.

Cell: 10.726 10.726 5.638 Å, 90.01 90.01 19.00°
Fractional coordinates of all 6 atoms:
Na1 0.208 0.208 0.249
Na2 0.792 0.792 0.751
Tb1 0.041 0.041 0.250
Tb2 0.959 0.959 0.750
Nd1 0.393 0.393 0.250
Nd2 0.607 0.607 0.750

DOS(E_F): 1.167 states/eV/atom
Magnetic moment: 0.0 μB/cell

***

<D>
An optimized crystal structure of NaTbNd, computed with PBE-GGA.

Cell: 3.598 3.598 9.261 Å, 90.00 90.00 120.00°
Fractional coordinates of all 3 atoms:
Na1 0.000 0.000 0.000
Tb1 0.667 0.333 0.345
Nd1 0.333 0.667 0.648

DOS(E_F): 1.328 states/eV/atom
Magnetic moment: 0.0 μB/cell

***

Which one sits at the bottom of the stability order? <B> does.

***

<A>
An optimized crystal structure of NaNd6Te8, computed with PBE-GGA.

Cell: 12.004 12.004 4.601 Å, 90.00 90.00 120.00°
Fractional coordinates of all 15 atoms:
Na1 0.000 0.000 0.000
Nd1 0.135 0.651 0.250
Nd2 0.349 0.484 0.250
Nd3 0.484 0.135 0.750
Nd4 0.516 0.865 0.250
Nd5 0.651 0.516 0.750
Nd6 0.865 0.349 0.750
Te1 0.045 0.347 0.249
Te2 0.302 0.955 0.249
Te3 0.333 0.667 0.750
Te4 0.347 0.302 0.751
Te5 0.653 0.698 0.249
Te6 0.667 0.333 0.250
Te7 0.698 0.045 0.751
Te8 0.955 0.653 0.751

DOS(E_F): 0.745 states/eV/atom
Magnetic moment: 1.6 μB/cell

***

<B>
An optimized crystal structure of NaNd6Te8, computed with PBE-GGA.

Cell: 8.974 8.974 8.974 Å, 60.00 60.00 60.00°
Fractional coordinates of all 15 atoms:
Na1 0.000 0.000 0.000
Nd1 0.000 0.000 0.500
Nd2 0.000 0.500 0.000
Nd3 0.000 0.500 0.500
Nd4 0.500 0.000 0.000
Nd5 0.500 0.000 0.500
Nd6 0.500 0.500 0.000
Te1 0.250 0.250 0.250
Te2 0.255 0.255 0.745
Te3 0.255 0.745 0.255
Te4 0.255 0.745 0.745
Te5 0.745 0.255 0.255
Te6 0.745 0.255 0.745
Te7 0.745 0.745 0.255
Te8 0.750 0.750 0.750

DOS(E_F): 0.284 states/eV/atom
Magnetic moment: 0.0 μB/cell

***

Which one sits at the bottom of the stability order? <A> does.